# Nd3Al2Zn (PBE, optimized geometry)
data_Nd3Al2Zn
_chemical_formula_sum 'Nd6 Al4 Zn2'
_cell_length_a 5.2684
_cell_length_b 5.2684
_cell_length_c 12.8957
_cell_angle_alpha 90.00
_cell_angle_beta 90.00
_cell_angle_gamma 120.00
_symmetry_space_group_name_H-M 'P -3 m 1'
_symmetry_Int_Tables_number 164
_symmetry_space_group_name_Hall '-P 3 2"'
loop_
_atom_site_label
_atom_site_fract_x
_atom_site_fract_y
_atom_site_fract_z
Nd1 0.0000 0.0000 0.2488
Nd2 0.3333 0.6667 0.4138
Nd3 0.3333 0.6667 0.9157
Al1 0.0000 0.0000 0.0000
Al2 0.0000 0.0000 0.5000
Al3 0.3333 0.6667 0.6667
Zn1 0.3333 0.6667 0.1649
# - Magnetic moment: 0.0 μB per formula unit
# - Calculated formation energy: -0.3358 eV/atom
# - Total energy: -4.1795 eV per atom

=====

# NdAl2Zn3 (PBE, optimized geometry)
data_NdAl2Zn3
_chemical_formula_sum 'Nd4 Al8 Zn12'
_cell_length_a 15.3619
_cell_length_b 4.3699
_cell_length_c 7.6861
_cell_angle_alpha 90.00
_cell_angle_beta 115.52
_cell_angle_gamma 90.00
_symmetry_space_group_name_H-M 'C 1 2/m 1'
_symmetry_Int_Tables_number 12
_symmetry_space_group_name_Hall '-C 2y'
loop_
_atom_site_label
_atom_site_fract_x
_atom_site_fract_y
_atom_site_fract_z
Nd1 0.1483 0.0000 0.0929
Al1 0.0193 0.5000 0.1764
Al2 0.1818 0.0000 0.6702
Zn1 0.0111 0.0000 0.3464
Zn2 0.1275 0.5000 0.7597
Zn3 0.1864 0.5000 0.4601
# - Magnetic moment: 0.0 μB per formula unit
# - Calculated formation energy: -0.2727 eV/atom
# - Total energy: -2.9519 eV per atom

=====

# Nd2Al5Zn (PBE, optimized geometry)
data_Nd2Al5Zn
_chemical_formula_sum 'Nd4 Al10 Zn2'
_cell_length_a 6.1681
_cell_length_b 6.1681
_cell_length_c 8.7314
_cell_angle_alpha 90.00
_cell_angle_beta 90.00
_cell_angle_gamma 90.00
_symmetry_space_group_name_H-M 'I 4 m m'
_symmetry_Int_Tables_number 107
_symmetry_space_group_name_Hall 'I 4 -2'
loop_
_atom_site_label
_atom_site_fract_x
_atom_site_fract_y
_atom_site_fract_z
Nd1 0.0000 0.5000 0.0000
Al1 0.0000 0.0000 0.0009
Al2 0.2504 0.2504 0.2500
Zn1 0.0000 0.0000 0.4978
# - Magnetic moment: 0.0 μB per formula unit
# - Calculated formation energy: -0.3491 eV/atom
# - Total energy: -4.0394 eV per atom

=====

# NdAlZn2 (PBE, optimized geometry)
data_NdAlZn2
_chemical_formula_sum 'Nd1 Al1 Zn2'
_cell_length_a 4.4534
_cell_length_b 4.4534
_cell_length_c 4.1975
_cell_angle_alpha 90.00
_cell_angle_beta 90.00
_cell_angle_gamma 90.00
_symmetry_space_group_name_H-M 'P 4/m m m'
_symmetry_Int_Tables_number 123
_symmetry_space_group_name_Hall '-P 4 2'
loop_
_atom_site_label
_atom_site_fract_x
_atom_site_fract_y
_atom_site_fract_z
Nd1 0.0000 0.0000 0.0000
Al1 0.5000 0.5000 0.0000
Zn1 0.0000 0.5000 0.5000
# - Magnetic moment: 0.0 μB per formula unit
# - Calculated formation energy: -0.2341 eV/atom
# - Total energy: -2.9987 eV per atom

=====

# Nd2Al5Zn12 (PBE, optimized geometry)
data_Nd2Al5Zn12
_chemical_formula_sum 'Nd6 Al15 Zn36'
_cell_length_a 9.1598
_cell_length_b 9.1598
_cell_length_c 13.3711
_cell_angle_alpha 90.00
_cell_angle_beta 90.00
_cell_angle_gamma 120.00
_symmetry_space_group_name_H-M 'R -3 m'
_symmetry_Int_Tables_number 166
_symmetry_space_group_name_Hall '-R 3 2"'
loop_
_atom_site_label
_atom_site_fract_x
_atom_site_fract_y
_atom_site_fract_z
Nd1 0.0000 0.0000 0.1669
Al1 0.0000 0.0000 0.4015
Al2 0.0000 0.5000 0.0000
Zn1 0.0000 0.2984 0.5000
Zn2 0.0106 0.5053 0.6527
# - Magnetic moment: 0.0 μB per formula unit
# - Calculated formation energy: -0.2131 eV/atom
# - Total energy: -2.5045 eV per atom

=====

# Nd2Al3Zn5 (PBE, optimized geometry)
data_Nd2Al3Zn5
_chemical_formula_sum 'Nd2 Al3 Zn5'
_cell_length_a 4.2930
_cell_length_b 4.2930
_cell_length_c 10.6241
_cell_angle_alpha 90.00
_cell_angle_beta 90.00
_cell_angle_gamma 90.00
_symmetry_space_group_name_H-M 'P -4 m 2'
_symmetry_Int_Tables_number 115
_symmetry_space_group_name_Hall 'P -4 -2'
loop_
_atom_site_label
_atom_site_fract_x
_atom_site_fract_y
_atom_site_fract_z
Nd1 0.0000 0.5000 0.2466
Al1 0.0000 0.5000 0.6435
Al2 0.5000 0.5000 0.5000
Zn1 0.0000 0.0000 0.0000
Zn2 0.0000 0.0000 0.5000
Zn3 0.0000 0.5000 0.8750
Zn4 0.5000 0.5000 0.0000
# - Magnetic moment: 0.0 μB per formula unit
# - Calculated formation energy: -0.3621 eV/atom
# - Energy above the most stable polymorph in this dataset: 29 meV/atom
# - Total energy: -3.0754 eV per atom

=====

# Nd2Al2Zn (PBE, optimized geometry)
data_Nd2Al2Zn
_chemical_formula_sum 'Nd8 Al8 Zn4'
_cell_length_a 10.8896
_cell_length_b 4.6294
_cell_length_c 10.9063
_cell_angle_alpha 90.00
_cell_angle_beta 117.74
_cell_angle_gamma 90.00
_symmetry_space_group_name_H-M 'C 1 2/m 1'
_symmetry_Int_Tables_number 12
_symmetry_space_group_name_Hall '-C 2y'
loop_
_atom_site_label
_atom_site_fract_x
_atom_site_fract_y
_atom_site_fract_z
Nd1 0.0189 0.0000 0.3335
Nd2 0.1828 0.0000 0.0929
Al1 0.0074 0.5000 0.8783
Al2 0.1411 0.5000 0.5626
Zn1 0.2293 0.5000 0.3492
# - Magnetic moment: 0.0 μB per formula unit
# - Calculated formation energy: -0.4019 eV/atom
# - Total energy: -4.0608 eV per atom

=====

# Nd3Al3Zn8 (PBE, optimized geometry)
data_Nd3Al3Zn8
_chemical_formula_sum 'Nd6 Al6 Zn16'
_cell_length_a 4.3586
_cell_length_b 9.6274
_cell_length_c 12.9021
_cell_angle_alpha 90.00
_cell_angle_beta 90.00
_cell_angle_gamma 90.00
_symmetry_space_group_name_H-M 'I m m m'
_symmetry_Int_Tables_number 71
_symmetry_space_group_name_Hall '-I 2 2'
loop_
_atom_site_label
_atom_site_fract_x
_atom_site_fract_y
_atom_site_fract_z
Nd1 0.0000 0.0000 0.0000
Nd2 0.0000 0.0000 0.3056
Al1 0.0000 0.2100 0.5000
Al2 0.0000 0.5000 0.0000
Zn1 0.0000 0.2752 0.1387
Zn2 0.0000 0.3666 0.3377
# - Magnetic moment: 0.0 μB per formula unit
# - Calculated formation energy: -0.3645 eV/atom
# - Total energy: -2.9161 eV per atom

=====

# Nd2AlZn (PBE, optimized geometry)
data_Nd2AlZn
_chemical_formula_sum 'Nd6 Al3 Zn3'
_cell_length_a 3.5137
_cell_length_b 3.5137
_cell_length_c 33.1054
_cell_angle_alpha 90.00
_cell_angle_beta 90.00
_cell_angle_gamma 120.00
_symmetry_space_group_name_H-M 'R -3 m'
_symmetry_Int_Tables_number 166
_symmetry_space_group_name_Hall '-R 3 2"'
loop_
_atom_site_label
_atom_site_fract_x
_atom_site_fract_y
_atom_site_fract_z
Nd1 0.0000 0.0000 0.0957
Al1 0.0000 0.0000 0.5000
Zn1 0.0000 0.0000 0.0000
# - Magnetic moment: 0.0 μB per formula unit
# - Calculated formation energy: 0.1766 eV/atom
# - Total energy: -3.4614 eV per atom

=====

# NdAl2Zn (PBE, optimized geometry)
data_NdAl2Zn
_chemical_formula_sum 'Nd4 Al8 Zn4'
_cell_length_a 7.1244
_cell_length_b 4.3802
_cell_length_c 10.7575
_cell_angle_alpha 90.00
_cell_angle_beta 90.00
_cell_angle_gamma 90.00
_symmetry_space_group_name_H-M 'P n m a'
_symmetry_Int_Tables_number 62
_symmetry_space_group_name_Hall '-P 2ac 2n'
loop_
_atom_site_label
_atom_site_fract_x
_atom_site_fract_y
_atom_site_fract_z
Nd1 0.1802 0.2500 0.1452
Al1 0.0150 0.7500 0.3708
Al2 0.2299 0.2500 0.4383
Zn1 0.1203 0.2500 0.8508
# - Magnetic moment: 0.0 μB per formula unit
# - Calculated formation energy: -0.3971 eV/atom
# - Total energy: -3.7788 eV per atom

=====

# NdAl3Zn (PBE, optimized geometry)
data_NdAl3Zn
_chemical_formula_sum 'Nd2 Al6 Zn2'
_cell_length_a 5.9979
_cell_length_b 5.9932
_cell_length_c 6.2834
_cell_angle_alpha 90.00
_cell_angle_beta 118.30
_cell_angle_gamma 90.00
_symmetry_space_group_name_H-M 'C 1 m 1'
_symmetry_Int_Tables_number 8
_symmetry_space_group_name_Hall 'C -2y'
loop_
_atom_site_label
_atom_site_fract_x
_atom_site_fract_y
_atom_site_fract_z
Nd1 0.0000 0.0000 0.0000
Al1 0.3919 0.0000 0.7836
Al2 0.4964 0.2510 0.4930
Zn1 0.1130 0.5000 0.2268
# - Magnetic moment: 0.0 μB per formula unit
# - Calculated formation energy: -0.3914 eV/atom
# - Total energy: -3.8453 eV per atom

=====

# Nd6Al2Zn (PBE, optimized geometry)
data_Nd6Al2Zn
_chemical_formula_sum 'Nd12 Al4 Zn2'
_cell_length_a 16.2104
_cell_length_b 7.3502
_cell_length_c 5.1509
_cell_angle_alpha 90.00
_cell_angle_beta 108.39
_cell_angle_gamma 90.00
_symmetry_space_group_name_H-M 'C 1 2/m 1'
_symmetry_Int_Tables_number 12
_symmetry_space_group_name_Hall '-C 2y'
loop_
_atom_site_label
_atom_site_fract_x
_atom_site_fract_y
_atom_site_fract_z
Nd1 0.0000 0.2459 0.0000
Nd2 0.1648 0.2484 0.6644
Al1 0.1666 0.5000 0.1660
Zn1 0.0000 0.0000 0.5000
# - Magnetic moment: 0.0 μB per formula unit
# - Calculated formation energy: -0.0076 eV/atom
# - Total energy: -4.1594 eV per atom